An optimized crystal structure of DyErTlHg. Source: Alexandria via LeMat-Bulk, functional PBE.

## Properties
Total magnetic moment ... 0.45 Bohr magnetons per cell
VASP energy ... -3.358 eV per atom
Formation energy from the elements ... -400 meV per atom
E above lowest polymorph ... 5 meV per atom

a b c (Å): 5.298 5.298 5.298
angles (deg): 60.00 60.00 60.00
Atoms (fractional coordinates):
Tl 0.000 0.000 0.000
Dy 0.750 0.750 0.750
Hg 0.500 0.500 0.500
Er 0.250 0.250 0.250

An optimized crystal structure of Tl2AgCl. Source: Alexandria via LeMat-Bulk, functional PBE.

## Properties
Total magnetic moment ... 0.00 Bohr magnetons per cell
VASP energy ... -2.677 eV per atom
E above lowest polymorph ... 26 meV per atom

a b c (Å): 6.323 6.323 4.798
angles (deg): 90.02 90.02 36.03
Atoms (fractional coordinates):
Tl 0.002 0.002 0.125
Tl 0.750 0.750 0.625
Ag 0.496 0.496 0.625
Cl 0.252 0.252 0.125

An optimized crystal structure of Er. Source: Alexandria via LeMat-Bulk, functional PBE.

## Properties
Total magnetic moment ... 0.00 Bohr magnetons per cell
VASP energy ... -4.083 eV per atom
Formation energy from the elements ... 480 meV per atom
E above lowest polymorph ... 480 meV per atom

a b c (Å): 4.644 4.644 4.644
angles (deg): 97.28 97.28 138.29
Atoms (fractional coordinates):
Er 0.125 0.875 0.750
Er 0.875 0.125 0.250

An optimized crystal structure of ScReW2. Source: Alexandria via LeMat-Bulk, functional PBE.

## Properties
Total magnetic moment ... 0.00 Bohr magnetons per cell
VASP energy ... -11.106 eV per atom
Formation energy from the elements ... 66 meV per atom
E above lowest polymorph ... 84 meV per atom

a b c (Å): 4.513 2.784 5.330
angles (deg): 80.25 90.00 90.00
Atoms (fractional coordinates):
Re 0.000 0.477 0.501
Sc 0.500 0.747 0.748
W 0.000 0.024 0.999
W 0.500 0.252 0.252

An optimized crystal structure of Tb2YPt. Source: Alexandria via LeMat-Bulk, functional PBE.

## Properties
Total magnetic moment ... 0.00 Bohr magnetons per cell
VASP energy ... -6.114 eV per atom
Formation energy from the elements ... -673 meV per atom
E above lowest polymorph ... 35 meV per atom

a b c (Å): 3.831 6.361 9.418
angles (deg): 90.00 90.00 107.54
Atoms (fractional coordinates):
Tb 0.137 0.274 0.437
Tb 0.863 0.726 0.563
Tb 0.863 0.726 0.937
Tb 0.137 0.274 0.063
Y 0.431 0.862 0.250
Y 0.569 0.138 0.750
Pt 0.738 0.476 0.250
Pt 0.262 0.524 0.750

An optimized crystal structure of LaScPb2. Source: Alexandria via LeMat-Bulk, functional PBE.

## Properties
Total magnetic moment ... 0.00 Bohr magnetons per cell
VASP energy ... -4.681 eV per atom
Formation energy from the elements ... -12 meV per atom

a b c (Å): 5.162 5.162 10.845
angles (deg): 76.23 76.23 90.00
Atoms (fractional coordinates):
Pb 0.556 0.125 0.250
Pb 0.194 0.625 0.250
Pb 0.375 0.444 0.750
Pb 0.875 0.806 0.750
Sc 0.500 0.500 0.000
Sc 0.250 0.750 0.500
La 0.000 0.000 0.000
La 0.750 0.250 0.500

An optimized crystal structure of KHf2TiCd. Source: Alexandria via LeMat-Bulk, functional PBE.

## Properties
Total magnetic moment ... 0.00 Bohr magnetons per cell
VASP energy ... -3.900 eV per atom
Formation energy from the elements ... 2063 meV per atom

a b c (Å): 4.839 5.184 4.839
angles (deg): 90.00 90.00 90.00
Atoms (fractional coordinates):
K 0.000 0.000 0.000
Ti 0.500 0.500 0.500
Hf 0.000 0.000 0.500
Hf 0.500 0.000 0.000
Cd 0.000 0.500 0.000

An optimized crystal structure of Na6Si2Se7. Source: Alexandria via LeMat-Bulk, functional PBE.

## Properties
Total magnetic moment ... 0.00 Bohr magnetons per cell
VASP energy ... -3.807 eV per atom

a b c (Å): 7.242 7.242 15.950
angles (deg): 80.44 80.44 97.89
Atoms (fractional coordinates):
Na 0.581 0.419 0.750
Na 0.419 0.581 0.250
Na 0.500 0.500 0.000
Na 0.500 0.500 0.500
Na 0.266 0.971 0.928
Na 0.029 0.734 0.572
Na 0.734 0.029 0.072
Na 0.971 0.266 0.428
Na 0.514 0.957 0.642
Na 0.043 0.486 0.858
Na 0.486 0.043 0.358
Na 0.957 0.514 0.142
Si 0.764 0.923 0.859
Si 0.077 0.236 0.641
Si 0.923 0.764 0.359
Si 0.236 0.077 0.141
Se 0.036 0.964 0.750
Se 0.964 0.036 0.250
Se 0.690 0.200 0.894
Se 0.800 0.310 0.606
Se 0.310 0.800 0.106
Se 0.200 0.690 0.394
Se 0.870 0.740 0.967
Se 0.260 0.130 0.533
Se 0.130 0.260 0.033
Se 0.740 0.870 0.467
Se 0.510 0.757 0.820
Se 0.243 0.490 0.680
Se 0.490 0.243 0.180
Se 0.757 0.510 0.320

What is the formula in the eighth record? Na6Si2Se7

Which value of total magnetic moment does entry 1 give? 0.45 Bohr magnetons per cell